## Tb12Nd5Sm2 (GGA-PBE)

Data for a relaxed structure of Tb12Nd5Sm2.

a b c (Å): 9.886 9.886 10.461
angles (deg): 109.61 109.61 42.11
Fractional coordinates of all 19 atoms:
Tb 0.002 0.002 0.174
Tb 0.084 0.589 0.979
Tb 0.094 0.589 0.632
Tb 0.411 0.906 0.368
Tb 0.411 0.916 0.021
Tb 0.474 0.474 0.254
Tb 0.526 0.526 0.746
Tb 0.589 0.084 0.979
Tb 0.589 0.094 0.632
Tb 0.906 0.411 0.368
Tb 0.916 0.411 0.021
Tb 0.998 0.998 0.826
Nd 0.180 0.180 0.712
Nd 0.312 0.312 0.316
Nd 0.500 0.500 0.000
Nd 0.688 0.688 0.684
Nd 0.820 0.820 0.288
Sm 0.224 0.776 0.500
Sm 0.776 0.224 0.500

Calculated values
DOS at the Fermi energy ... 29.3 states/eV per cell
V ... 639.7 Å³/cell
Energy of formation ... 0.17 eV/atom
VASP energy ... -85.6 eV/cell
Density ... 7603 kg/m³